No. 1
Below is a crystal of SrCdSb2 relaxed with PBEsol, with properties calculated at the meta-GGA SCAN level.

Structure (CIF):
```
data_SrCdSb2
_cell_length_a 4.109
_cell_length_b 4.109
_cell_length_c 6.611
_cell_angle_alpha 90.00
_cell_angle_beta 90.00
_cell_angle_gamma 89.96
_space_group_name_H-M_alt 'P 1'
_space_group_IT_number 1
loop_
_space_group_symop_operation_xyz
'x,y,z'
loop_
_atom_site_label
_atom_site_fract_x
_atom_site_fract_y
_atom_site_fract_z
Sb1 0.000 0.000 0.221
Cd1 0.500 0.500 0.000
Sr1 0.500 0.500 0.500
Sb2 0.000 0.000 0.779
```

Computed properties:
**Magnetic moment**: 0.00 μB per cell
**Space group**: P4/mmm, No. 123
**Formation energy from raw total energies**: -373 meV per atom

=====

No. 2
Below is a crystal of SrCd2Sb relaxed with PBEsol, with properties calculated at the meta-GGA SCAN level.

Structure (CIF):
```
data_SrCd2Sb
_cell_length_a 4.711
_cell_length_b 4.711
_cell_length_c 5.879
_cell_angle_alpha 113.62
_cell_angle_beta 113.62
_cell_angle_gamma 90.00
_space_group_name_H-M_alt 'P 1'
_space_group_IT_number 1
loop_
_space_group_symop_operation_xyz
'x,y,z'
loop_
_atom_site_label
_atom_site_fract_x
_atom_site_fract_y
_atom_site_fract_z
Sb1 0.500 0.500 0.000
Sr1 0.250 0.750 0.500
Cd1 0.000 0.000 0.000
Cd2 0.750 0.250 0.500
```

Computed properties:
**Magnetic moment**: 0.00 μB per cell
**Space group**: I-4m2, No. 119
**Formation energy from raw total energies**: -303 meV per atom

=====

No. 3
Below is a crystal of SrCdSb2 relaxed with PBEsol, with properties calculated at the meta-GGA SCAN level.

Structure (CIF):
```
data_SrCdSb2
_cell_length_a 5.412
_cell_length_b 5.412
_cell_length_c 5.412
_cell_angle_alpha 60.00
_cell_angle_beta 60.00
_cell_angle_gamma 60.00
_space_group_name_H-M_alt 'P 1'
_space_group_IT_number 1
loop_
_space_group_symop_operation_xyz
'x,y,z'
loop_
_atom_site_label
_atom_site_fract_x
_atom_site_fract_y
_atom_site_fract_z
Sr1 0.250 0.250 0.250
Sb1 0.000 0.000 0.000
Sb2 0.750 0.750 0.750
Cd1 0.500 0.500 0.500
```

Computed properties:
**Magnetic moment**: 0.00 μB per cell
**Space group**: F-43m, No. 216
**Formation energy from raw total energies**: -255 meV per atom

=====

No. 4
Below is a crystal of Sr2CdSb relaxed with PBEsol, with properties calculated at the meta-GGA SCAN level.

Structure (CIF):
```
data_Sr2CdSb
_cell_length_a 4.369
_cell_length_b 5.348
_cell_length_c 5.348
_cell_angle_alpha 90.00
_cell_angle_beta 90.00
_cell_angle_gamma 90.00
_space_group_name_H-M_alt 'P 1'
_space_group_IT_number 1
loop_
_space_group_symop_operation_xyz
'x,y,z'
loop_
_atom_site_label
_atom_site_fract_x
_atom_site_fract_y
_atom_site_fract_z
Sb1 0.500 0.875 0.500
Cd1 0.500 0.375 0.000
Sr1 0.000 0.375 0.500
Sr2 0.000 0.875 0.000
```

Computed properties:
**Magnetic moment**: 0.00 μB per cell
**Space group**: P4/mmm, No. 123
**Formation energy from raw total energies**: -761 meV per atom
**Distance to the lowest polymorph of the same formula**: 57.7 meV/atom

=====

No. 5
Below is a crystal of SrCdSb2 relaxed with PBEsol, with properties calculated at the meta-GGA SCAN level.

Structure (CIF):
```
data_SrCdSb2
_cell_length_a 6.547
_cell_length_b 6.805
_cell_length_c 6.805
_cell_angle_alpha 76.62
_cell_angle_beta 61.25
_cell_angle_gamma 61.25
_space_group_name_H-M_alt 'P 1'
_space_group_IT_number 1
loop_
_space_group_symop_operation_xyz
'x,y,z'
loop_
_atom_site_label
_atom_site_fract_x
_atom_site_fract_y
_atom_site_fract_z
Sb1 0.375 0.543 0.957
Cd1 0.000 0.000 0.000
Cd2 0.750 0.500 0.500
Sb2 0.082 0.043 0.543
Sb3 0.668 0.957 0.457
Sb4 0.875 0.457 0.043
Sr1 0.500 0.000 0.000
Sr2 0.250 0.500 0.500
```

Computed properties:
**Magnetic moment**: 0.00 μB per cell
**Space group**: I-42d, No. 122
**Formation energy from raw total energies**: -497 meV per atom

=====

No. 6
Below is a crystal of SrCdSb2Te relaxed with PBEsol, with properties calculated at the meta-GGA SCAN level.

Structure (CIF):
```
data_SrCdSb2Te
_cell_length_a 5.438
_cell_length_b 5.438
_cell_length_c 5.684
_cell_angle_alpha 90.00
_cell_angle_beta 90.00
_cell_angle_gamma 90.00
_space_group_name_H-M_alt 'P 1'
_space_group_IT_number 1
loop_
_space_group_symop_operation_xyz
'x,y,z'
loop_
_atom_site_label
_atom_site_fract_x
_atom_site_fract_y
_atom_site_fract_z
Te1 0.000 0.000 0.500
Sb1 0.500 0.000 0.000
Sr1 0.500 0.500 0.500
Cd1 0.000 0.000 0.000
Sb2 0.000 0.500 0.000
```

Computed properties:
**Magnetic moment**: 0.00 μB per cell
**Space group**: P4/mmm, No. 123
**Formation energy from raw total energies**: -66 meV per atom

=====

No. 7
Below is a crystal of TaCdSb2 relaxed with PBEsol, with properties calculated at the meta-GGA SCAN level.

Structure (CIF):
```
data_TaCdSb2
_cell_length_a 3.077
_cell_length_b 4.764
_cell_length_c 5.884
_cell_angle_alpha 90.00
_cell_angle_beta 90.02
_cell_angle_gamma 90.00
_space_group_name_H-M_alt 'P 1'
_space_group_IT_number 1
loop_
_space_group_symop_operation_xyz
'x,y,z'
loop_
_atom_site_label
_atom_site_fract_x
_atom_site_fract_y
_atom_site_fract_z
Ta1 0.000 0.000 0.470
Cd1 0.498 0.500 0.772
Sb1 0.501 0.500 0.293
Sb2 0.000 0.000 0.965
```

Computed properties:
**Magnetic moment**: 0.00 μB per cell
**Space group**: Pm, No. 6
**Formation energy from raw total energies**: 369 meV per atom
**Distance to the lowest polymorph of the same formula**: 72.5 meV/atom

=====

No. 8
Below is a crystal of TaCdSb4 relaxed with PBEsol, with properties calculated at the meta-GGA SCAN level.

Structure (CIF):
```
data_TaCdSb4
_cell_length_a 5.994
_cell_length_b 5.994
_cell_length_c 5.994
_cell_angle_alpha 60.00
_cell_angle_beta 60.00
_cell_angle_gamma 60.00
_space_group_name_H-M_alt 'P 1'
_space_group_IT_number 1
loop_
_space_group_symop_operation_xyz
'x,y,z'
loop_
_atom_site_label
_atom_site_fract_x
_atom_site_fract_y
_atom_site_fract_z
Ta1 0.750 0.750 0.750
Cd1 0.000 0.000 0.000
Sb1 0.376 0.873 0.376
Sb2 0.376 0.376 0.873
Sb3 0.873 0.376 0.376
Sb4 0.376 0.376 0.376
```

Computed properties:
**Magnetic moment**: 1.33 μB per cell
**Space group**: F-43m, No. 216
**Formation energy from raw total energies**: 953 meV per atom

=====

No. 9
Below is a crystal of Ta2CdSb relaxed with PBEsol, with properties calculated at the meta-GGA SCAN level.

Structure (CIF):
```
data_Ta2CdSb
_cell_length_a 3.545
_cell_length_b 4.649
_cell_length_c 5.480
_cell_angle_alpha 115.10
_cell_angle_beta 108.88
_cell_angle_gamma 90.00
_space_group_name_H-M_alt 'P 1'
_space_group_IT_number 1
loop_
_space_group_symop_operation_xyz
'x,y,z'
loop_
_atom_site_label
_atom_site_fract_x
_atom_site_fract_y
_atom_site_fract_z
Cd1 0.502 0.502 0.003
Ta1 0.993 0.993 0.985
Sb1 0.741 0.241 0.482
Ta2 0.265 0.765 0.529
```

Computed properties:
**Magnetic moment**: 0.00 μB per cell
**Space group**: Imm2, No. 44
**Formation energy from raw total energies**: 290 meV per atom
**Distance to the lowest polymorph of the same formula**: 0.0 meV/atom

=====

No. 10
Below is a crystal of Ta2CdSb relaxed with PBEsol, with properties calculated at the meta-GGA SCAN level.

Structure (CIF):
```
data_Ta2CdSb
_cell_length_a 4.733
_cell_length_b 4.733
_cell_length_c 4.733
_cell_angle_alpha 60.00
_cell_angle_beta 60.00
_cell_angle_gamma 60.00
_space_group_name_H-M_alt 'P 1'
_space_group_IT_number 1
loop_
_space_group_symop_operation_xyz
'x,y,z'
loop_
_atom_site_label
_atom_site_fract_x
_atom_site_fract_y
_atom_site_fract_z
Sb1 0.500 0.500 0.500
Cd1 0.000 0.000 0.000
Ta1 0.750 0.750 0.750
Ta2 0.250 0.250 0.250
```

Computed properties:
**Magnetic moment**: 0.00 μB per cell
**Space group**: Fm-3m, No. 225
**Formation energy from raw total energies**: 521 meV per atom
**Distance to the lowest polymorph of the same formula**: 230.8 meV/atom

=====

No. 11
Below is a crystal of TaCdSb2 relaxed with PBEsol, with properties calculated at the meta-GGA SCAN level.

Structure (CIF):
```
data_TaCdSb2
_cell_length_a 3.129
_cell_length_b 3.129
_cell_length_c 10.920
_cell_angle_alpha 81.76
_cell_angle_beta 81.76
_cell_angle_gamma 60.00
_space_group_name_H-M_alt 'P 1'
_space_group_IT_number 1
loop_
_space_group_symop_operation_xyz
'x,y,z'
loop_
_atom_site_label
_atom_site_fract_x
_atom_site_fract_y
_atom_site_fract_z
Sb1 0.764 0.764 0.708
Sb2 0.990 0.990 0.030
Cd1 0.243 0.243 0.270
Ta1 0.503 0.503 0.492
```

Computed properties:
**Magnetic moment**: 0.00 μB per cell
**Space group**: R3m, No. 160
**Formation energy from raw total energies**: 296 meV per atom
**Distance to the lowest polymorph of the same formula**: 0.0 meV/atom

=====

No. 12
Below is a crystal of TaCdSb relaxed with PBEsol, with properties calculated at the meta-GGA SCAN level.

Structure (CIF):
```
data_TaCdSb
_cell_length_a 2.999
_cell_length_b 2.999
_cell_length_c 7.880
_cell_angle_alpha 98.22
_cell_angle_beta 98.22
_cell_angle_gamma 104.42
_space_group_name_H-M_alt 'P 1'
_space_group_IT_number 1
loop_
_space_group_symop_operation_xyz
'x,y,z'
loop_
_atom_site_label
_atom_site_fract_x
_atom_site_fract_y
_atom_site_fract_z
Ta1 0.333 0.333 0.665
Cd1 0.976 0.976 0.952
Sb1 0.691 0.691 0.382
```

Computed properties:
**Magnetic moment**: 0.00 μB per cell
**Space group**: Fmm2, No. 42
**Formation energy from raw total energies**: 253 meV per atom

=====

No. 13
Below is a crystal of TaCdSb2 relaxed with PBEsol, with properties calculated at the meta-GGA SCAN level.

Structure (CIF):
```
data_TaCdSb2
_cell_length_a 4.966
_cell_length_b 4.966
_cell_length_c 4.966
_cell_angle_alpha 60.00
_cell_angle_beta 60.00
_cell_angle_gamma 60.00
_space_group_name_H-M_alt 'P 1'
_space_group_IT_number 1
loop_
_space_group_symop_operation_xyz
'x,y,z'
loop_
_atom_site_label
_atom_site_fract_x
_atom_site_fract_y
_atom_site_fract_z
Ta1 0.500 0.500 0.500
Sb1 0.750 0.750 0.750
Sb2 0.250 0.250 0.250
Cd1 0.000 0.000 0.000
```

Computed properties:
**Magnetic moment**: 0.01 μB per cell
**Space group**: Fm-3m, No. 225
**Formation energy from raw total energies**: 532 meV per atom
**Distance to the lowest polymorph of the same formula**: 236.0 meV/atom

=====

No. 14
Below is a crystal of Ta2CdSb relaxed with PBEsol, with properties calculated at the meta-GGA SCAN level.

Structure (CIF):
```
data_Ta2CdSb
_cell_length_a 3.042
_cell_length_b 3.042
_cell_length_c 9.758
_cell_angle_alpha 81.03
_cell_angle_beta 81.03
_cell_angle_gamma 60.00
_space_group_name_H-M_alt 'P 1'
_space_group_IT_number 1
loop_
_space_group_symop_operation_xyz
'x,y,z'
loop_
_atom_site_label
_atom_site_fract_x
_atom_site_fract_y
_atom_site_fract_z
Cd1 0.500 0.500 0.500
Sb1 0.000 0.000 0.000
Ta1 0.749 0.749 0.754
Ta2 0.251 0.251 0.246
```

Computed properties:
**Magnetic moment**: 0.00 μB per cell
**Space group**: R-3m, No. 166
**Formation energy from raw total energies**: 393 meV per atom
**Distance to the lowest polymorph of the same formula**: 103.0 meV/atom

=====

No. 15
Below is a crystal of CdTc2Sb relaxed with PBEsol, with properties calculated at the meta-GGA SCAN level.

Structure (CIF):
```
data_CdTc2Sb
_cell_length_a 4.580
_cell_length_b 4.580
_cell_length_c 4.580
_cell_angle_alpha 60.00
_cell_angle_beta 60.00
_cell_angle_gamma 60.00
_space_group_name_H-M_alt 'P 1'
_space_group_IT_number 1
loop_
_space_group_symop_operation_xyz
'x,y,z'
loop_
_atom_site_label
_atom_site_fract_x
_atom_site_fract_y
_atom_site_fract_z
Tc1 0.750 0.750 0.750
Sb1 0.250 0.250 0.250
Cd1 0.500 0.500 0.500
Tc2 0.000 0.000 0.000
```

Computed properties:
**Magnetic moment**: 1.87 μB per cell
**Space group**: F-43m, No. 216
**Formation energy from raw total energies**: 624 meV per atom

=====

No. 16
Below is a crystal of Cd2TcSb relaxed with PBEsol, with properties calculated at the meta-GGA SCAN level.

Structure (CIF):
```
data_Cd2TcSb
_cell_length_a 3.412
_cell_length_b 3.412
_cell_length_c 6.531
_cell_angle_alpha 90.00
_cell_angle_beta 90.00
_cell_angle_gamma 90.00
_space_group_name_H-M_alt 'P 1'
_space_group_IT_number 1
loop_
_space_group_symop_operation_xyz
'x,y,z'
loop_
_atom_site_label
_atom_site_fract_x
_atom_site_fract_y
_atom_site_fract_z
Tc1 0.500 0.500 0.731
Cd1 0.500 0.500 0.241
Sb1 0.000 0.000 0.537
Cd2 0.000 0.000 0.991
```

Computed properties:
**Magnetic moment**: 0.00 μB per cell
**Space group**: P4mm, No. 99
**Formation energy from raw total energies**: 203 meV per atom

=====

No. 17
Below is a crystal of CdTc3Sb relaxed with PBEsol, with properties calculated at the meta-GGA SCAN level.

Structure (CIF):
```
data_CdTc3Sb
_cell_length_a 4.790
_cell_length_b 4.790
_cell_length_c 4.790
_cell_angle_alpha 90.00
_cell_angle_beta 90.00
_cell_angle_gamma 90.00
_space_group_name_H-M_alt 'P 1'
_space_group_IT_number 1
loop_
_space_group_symop_operation_xyz
'x,y,z'
loop_
_atom_site_label
_atom_site_fract_x
_atom_site_fract_y
_atom_site_fract_z
Tc1 0.000 0.500 0.000
Cd1 0.500 0.500 0.500
Tc2 0.000 0.000 0.500
Sb1 0.000 0.000 0.000
Tc3 0.500 0.000 0.000
```

Computed properties:
**Magnetic moment**: 3.56 μB per cell
**Space group**: Pm-3m, No. 221
**Formation energy from raw total energies**: 1767 meV per atom

=====

No. 18
Below is a crystal of CdTcSb2 relaxed with PBEsol, with properties calculated at the meta-GGA SCAN level.

Structure (CIF):
```
data_CdTcSb2
_cell_length_a 3.214
_cell_length_b 3.213
_cell_length_c 8.317
_cell_angle_alpha 90.00
_cell_angle_beta 89.98
_cell_angle_gamma 90.00
_space_group_name_H-M_alt 'P 1'
_space_group_IT_number 1
loop_
_space_group_symop_operation_xyz
'x,y,z'
loop_
_atom_site_label
_atom_site_fract_x
_atom_site_fract_y
_atom_site_fract_z
Cd1 0.500 0.500 0.500
Tc1 0.500 0.500 0.000
Sb1 0.000 0.000 0.195
Sb2 0.000 0.000 0.805
```

Computed properties:
**Magnetic moment**: 0.00 μB per cell
**Space group**: P4/mmm, No. 123
**Formation energy from raw total energies**: 72 meV per atom

=====

No. 19
Below is a crystal of CdTcSb3 relaxed with PBEsol, with properties calculated at the meta-GGA SCAN level.

Structure (CIF):
```
data_CdTcSb3
_cell_length_a 5.327
_cell_length_b 5.327
_cell_length_c 5.327
_cell_angle_alpha 90.00
_cell_angle_beta 90.00
_cell_angle_gamma 90.00
_space_group_name_H-M_alt 'P 1'
_space_group_IT_number 1
loop_
_space_group_symop_operation_xyz
'x,y,z'
loop_
_atom_site_label
_atom_site_fract_x
_atom_site_fract_y
_atom_site_fract_z
Tc1 0.500 0.500 0.500
Sb1 0.500 0.000 0.000
Sb2 0.000 0.000 0.500
Cd1 0.000 0.000 0.000
Sb3 0.000 0.500 0.000
```

Computed properties:
**Magnetic moment**: 3.80 μB per cell
**Space group**: Pm-3m, No. 221
**Formation energy from raw total energies**: 1469 meV per atom

=====

No. 20
Below is a crystal of Cd2SbTe relaxed with PBEsol, with properties calculated at the meta-GGA SCAN level.

Structure (CIF):
```
data_Cd2SbTe
_cell_length_a 5.190
_cell_length_b 5.190
_cell_length_c 5.190
_cell_angle_alpha 60.00
_cell_angle_beta 60.00
_cell_angle_gamma 60.00
_space_group_name_H-M_alt 'P 1'
_space_group_IT_number 1
loop_
_space_group_symop_operation_xyz
'x,y,z'
loop_
_atom_site_label
_atom_site_fract_x
_atom_site_fract_y
_atom_site_fract_z
Cd1 0.250 0.250 0.250
Sb1 0.000 0.000 0.000
Cd2 0.750 0.750 0.750
Te1 0.500 0.500 0.500
```

Computed properties:
**Magnetic moment**: 0.00 μB per cell
**Space group**: Fm-3m, No. 225
**Formation energy from raw total energies**: 200 meV per atom
**Distance to the lowest polymorph of the same formula**: 222.0 meV/atom